1.
The following is a DFT calculation (GGA-PBE) of crystalline MgRu2Se at its relaxed geometry.

Cell lengths 2.995, 4.206, 5.141 Å; angles 90.00, 106.81, 90.00 degrees
Element x y z (fractional)
Mg1 0.000 0.000 0.000
Ru1 0.258 0.000 0.517
Ru2 0.643 0.500 0.284
Se1 0.391 0.500 0.778

**Uncorrected formation energy**: 85 meV/atom
**Volume**: 62.0 Å³/cell
**M_tot**: 0.0 μB/cell
**Excess energy over the best structure of this formula in the dataset**: 49 meV/atom
**Total DFT energy (no corrections)**: -5.823 eV per atom

***

2.
The following is a DFT calculation (GGA-PBE) of crystalline La2TbAl4Au3 at its relaxed geometry.

Cell lengths 4.414, 4.414, 11.737 Å; angles 90.00, 90.00, 90.00 degrees
Element x y z (fractional)
La1 0.000 0.500 0.232
La2 0.500 0.000 0.768
Tb1 0.000 0.000 0.500
Al1 0.000 0.000 0.000
Al2 0.000 0.500 0.667
Al3 0.500 0.000 0.333
Al4 0.500 0.500 0.000
Au1 0.000 0.500 0.881
Au2 0.500 0.000 0.119
Au3 0.500 0.500 0.500

**Volume**: 228.7 Å³/cell
**M_tot**: 0.0 μB/cell
**Total DFT energy (no corrections)**: -4.568 eV per atom
**Formation enthalpy at 0 K**: -14.7 kcal/mol of atoms

***

3.
The following is a DFT calculation (GGA-PBE) of crystalline V3Ru2 at its relaxed geometry.

Cell lengths 2.991, 2.991, 15.141 Å; angles 90.00, 90.00, 90.00 degrees
Element x y z (fractional)
V1 0.000 0.000 0.000
V2 0.000 0.000 0.203
V3 0.000 0.000 0.405
V4 0.000 0.000 0.595
V5 0.000 0.000 0.797
V6 0.500 0.500 0.500
Ru1 0.500 0.500 0.099
Ru2 0.500 0.500 0.301
Ru3 0.500 0.500 0.699
Ru4 0.500 0.500 0.901

**Volume**: 135.5 Å³/cell
**M_tot**: 0.0 μB/cell
**Total DFT energy (no corrections)**: -9.446 eV per atom
**Formation enthalpy at 0 K**: -6.1 kcal/mol of atoms

***

4.
The following is a DFT calculation (GGA-PBE) of crystalline NdYRhPb at its relaxed geometry.

Cell lengths 7.409, 7.409, 7.409 Å; angles 90.00, 90.00, 90.00 degrees
Element x y z (fractional)
Nd1 0.000 0.000 0.000
Nd2 0.000 0.500 0.500
Nd3 0.500 0.000 0.500
Nd4 0.500 0.500 0.000
Y1 0.000 0.000 0.500
Y2 0.000 0.500 0.000
Y3 0.500 0.000 0.000
Y4 0.500 0.500 0.500
Rh1 0.250 0.250 0.750
Rh2 0.250 0.750 0.250
Rh3 0.750 0.250 0.250
Rh4 0.750 0.750 0.750
Pb1 0.250 0.250 0.250
Pb2 0.250 0.750 0.750
Pb3 0.750 0.250 0.750
Pb4 0.750 0.750 0.250

**Volume**: 406.7 Å³/cell
**M_tot**: 0.0 μB/cell
**Total DFT energy (no corrections)**: -6.052 eV per atom
**Formation enthalpy at 0 K**: -11.0 kcal/mol of atoms

***

5.
The following is a DFT calculation (GGA-PBE) of crystalline NbTcRu2Au at its relaxed geometry.

Cell lengths 4.528, 4.528, 4.981 Å; angles 90.00, 90.00, 90.00 degrees
Element x y z (fractional)
Nb1 0.000 0.000 0.000
Tc1 0.500 0.500 0.500
Ru1 0.000 0.500 0.500
Ru2 0.500 0.000 0.500
Au1 0.500 0.500 0.000

**Volume**: 102.1 Å³/cell
**M_tot**: 0.0 μB/cell
**Total DFT energy (no corrections)**: -6.913 eV per atom
**Formation enthalpy at 0 K**: 35.5 kcal/mol of atoms

***

6.
The following is a DFT calculation (GGA-PBE) of crystalline RbLi2Np3S6 at its relaxed geometry.

Cell lengths 9.444, 9.444, 9.115 Å; angles 110.28, 110.28, 24.56 degrees
Element x y z (fractional)
Rb1 0.000 0.000 0.000
Li1 0.361 0.361 0.567
Li2 0.639 0.639 0.433
Np1 0.000 0.000 0.500
Np2 0.331 0.331 0.175
Np3 0.669 0.669 0.825
S1 0.161 0.161 0.601
S2 0.176 0.176 0.031
S3 0.495 0.495 0.290
S4 0.505 0.505 0.710
S5 0.824 0.824 0.969
S6 0.839 0.839 0.399

**Uncorrected formation energy**: -1318 meV/atom
**Volume**: 316.0 Å³/cell
**M_tot**: 12.0 μB/cell
**Total DFT energy (no corrections)**: -7.016 eV per atom

***

7.
The following is a DFT calculation (GGA-PBE) of crystalline Tc2NiCl at its relaxed geometry.

Cell lengths 5.979, 5.979, 5.979 Å; angles 90.00, 90.00, 90.00 degrees
Element x y z (fractional)
Tc1 0.250 0.250 0.250
Tc2 0.250 0.250 0.750
Tc3 0.250 0.750 0.250
Tc4 0.250 0.750 0.750
Tc5 0.750 0.250 0.250
Tc6 0.750 0.250 0.750
Tc7 0.750 0.750 0.250
Tc8 0.750 0.750 0.750
Ni1 0.000 0.000 0.000
Ni2 0.000 0.500 0.500
Ni3 0.500 0.000 0.500
Ni4 0.500 0.500 0.000
Cl1 0.000 0.000 0.500
Cl2 0.000 0.500 0.000
Cl3 0.500 0.000 0.000
Cl4 0.500 0.500 0.500

**Uncorrected formation energy**: 728 meV/atom
**Volume**: 213.7 Å³/cell
**M_tot**: 0.0 μB/cell
**Excess energy over the best structure of this formula in the dataset**: 484 meV/atom
**Total DFT energy (no corrections)**: -6.362 eV per atom

***

8.
The following is a DFT calculation (GGA-PBE) of crystalline TlPdPbF6 at its relaxed geometry.

Cell lengths 6.210, 6.210, 10.407 Å; angles 90.00, 90.00, 120.00 degrees
Element x y z (fractional)
Tl1 0.000 0.000 0.000
Tl2 0.000 0.000 0.500
Pd1 0.333 0.667 0.250
Pd2 0.667 0.333 0.750
Pb1 0.333 0.667 0.750
Pb2 0.667 0.333 0.250
F1 0.049 0.389 0.141
F2 0.049 0.661 0.359
F3 0.339 0.389 0.359
F4 0.339 0.951 0.141
F5 0.389 0.049 0.641
F6 0.389 0.339 0.859
F7 0.611 0.661 0.141
F8 0.611 0.951 0.359
F9 0.661 0.049 0.859
F10 0.661 0.611 0.641
F11 0.951 0.339 0.641
F12 0.951 0.611 0.859

**Uncorrected formation energy**: -1749 meV/atom
**Volume**: 347.6 Å³/cell
**M_tot**: 2.0 μB/cell
**Total DFT energy (no corrections)**: -4.249 eV per atom

***

9.
The following is a DFT calculation (GGA-PBE) of crystalline SrFeTc at its relaxed geometry.

Cell lengths 6.254, 6.254, 6.254 Å; angles 90.00, 90.00, 90.00 degrees
Element x y z (fractional)
Sr1 0.000 0.000 0.000
Sr2 0.000 0.500 0.500
Sr3 0.500 0.000 0.500
Sr4 0.500 0.500 0.000
Fe1 0.250 0.250 0.750
Fe2 0.250 0.750 0.250
Fe3 0.750 0.250 0.250
Fe4 0.750 0.750 0.750
Tc1 0.000 0.000 0.500
Tc2 0.000 0.500 0.000
Tc3 0.500 0.000 0.000
Tc4 0.500 0.500 0.500

**Volume**: 244.7 Å³/cell
**M_tot**: 0.0 μB/cell
**Excess energy over the best structure of this formula in the dataset**: 733 meV/atom
**Total DFT energy (no corrections)**: -5.604 eV per atom
**Formation enthalpy at 0 K**: 28.4 kcal/mol of atoms

***

10.
The following is a DFT calculation (GGA-PBE) of crystalline Sc2Ir3 at its relaxed geometry.

Cell lengths 4.346, 4.346, 16.364 Å; angles 90.00, 90.00, 120.00 degrees
Element x y z (fractional)
Sc1 0.000 0.000 0.098
Sc2 0.000 0.000 0.902
Sc3 0.333 0.667 0.569
Sc4 0.333 0.667 0.765
Sc5 0.667 0.333 0.235
Sc6 0.667 0.333 0.431
Ir1 0.000 0.000 0.334
Ir2 0.000 0.000 0.500
Ir3 0.000 0.000 0.666
Ir4 0.333 0.667 0.001
Ir5 0.333 0.667 0.167
Ir6 0.333 0.667 0.333
Ir7 0.667 0.333 0.667
Ir8 0.667 0.333 0.833
Ir9 0.667 0.333 0.999

**Volume**: 267.6 Å³/cell
**M_tot**: 0.0 μB/cell
**Excess energy over the best structure of this formula in the dataset**: 67 meV/atom
**Total DFT energy (no corrections)**: -8.450 eV per atom
**Formation enthalpy at 0 K**: -13.8 kcal/mol of atoms

***

11.
The following is a DFT calculation (GGA-PBE) of crystalline Th2Ni2Pd at its relaxed geometry.

Cell lengths 7.348, 7.348, 3.735 Å; angles 90.00, 90.00, 90.00 degrees
Element x y z (fractional)
Th1 0.178 0.322 0.000
Th2 0.322 0.822 0.000
Th3 0.678 0.178 0.000
Th4 0.822 0.678 0.000
Ni1 0.122 0.622 0.500
Ni2 0.378 0.122 0.500
Ni3 0.622 0.878 0.500
Ni4 0.878 0.378 0.500
Pd1 0.000 0.000 0.500
Pd2 0.500 0.500 0.500

**Volume**: 201.7 Å³/cell
**M_tot**: 0.0 μB/cell
**Total DFT energy (no corrections)**: -6.926 eV per atom
**Formation enthalpy at 0 K**: -14.0 kcal/mol of atoms

***

12.
The following is a DFT calculation (GGA-PBE) of crystalline LaNiRu2 at its relaxed geometry.

Cell lengths 2.888, 3.592, 6.726 Å; angles 90.00, 90.00, 90.00 degrees
Element x y z (fractional)
La1 0.000 0.000 0.000
Ni1 0.500 0.500 0.293
Ru1 0.000 0.000 0.490
Ru2 0.500 0.500 0.666

**Volume**: 69.8 Å³/cell
**M_tot**: 0.0 μB/cell
**Excess energy over the best structure of this formula in the dataset**: 231 meV/atom
**Total DFT energy (no corrections)**: -7.150 eV per atom
**Formation enthalpy at 0 K**: 3.8 kcal/mol of atoms